Entry 1:
Density functional theory data (PBE) for a relaxed CsNaRhS2 crystal.

Results
Uncorrected formation energy: -1.765 eV per formula unit
V: 24.55 Å³ per atom
ρ: 4.368 Mg/m³

a b c (Å): 4.8190 4.8190 5.2864
angles (deg): 90.00 90.00 90.00
With the nearest neighbours (Å) after each atom.
Fractional positions:
1 Cs 0.0000 0.0000 0.0000  4 Na 3.41, 8 S 3.58
2 Na 0.5000 0.5000 0.0000  2 Rh 2.64
3 Rh 0.5000 0.5000 0.5000  4 S 2.41, 2 Na 2.64
4 S 0.0000 0.5000 0.5000  2 Rh 2.41
5 S 0.5000 0.0000 0.5000  2 Rh 2.41

***

Entry 2:
Density functional theory data (PBE) for a relaxed Cs2NaSnRh crystal.

Results
V: 54.01 Å³ per atom
Formation enthalpy at 0 K: 0.312 eV/atom
ρ: 3.138 Mg/m³

a b c (Å): 7.3604 7.3604 4.9850
angles (deg): 90.00 90.00 90.00
With the nearest neighbours (Å) after each atom.
Fractional positions:
1 Cs 0.0000 0.5000 0.0000  2 Sn 3.68
2 Cs 0.5000 0.0000 0.0000  2 Sn 3.68
3 Na 0.0000 0.0000 0.5000  8 Cs 4.44
4 Sn 0.5000 0.5000 0.0000  2 Rh 2.49
5 Rh 0.5000 0.5000 0.5000  2 Sn 2.49

***

Entry 3:
Density functional theory data (PBE) for a relaxed CsNa2SnRh crystal.

Results
V: 33.66 Å³ per atom
Formation enthalpy at 0 K: -0.039 eV/atom
ρ: 3.952 Mg/m³

a b c (Å): 5.7589 5.7589 5.0743
angles (deg): 90.00 90.00 90.00
With the nearest neighbours (Å) after each atom.
Fractional positions:
1 Cs 0.0000 0.0000 0.0000  8 Na 3.84, 4 Sn 4.07
2 Na 0.0000 0.5000 0.5000  2 Rh 2.88
3 Na 0.5000 0.0000 0.5000  2 Rh 2.88
4 Sn 0.5000 0.5000 0.0000  2 Rh 2.54
5 Rh 0.5000 0.5000 0.5000  2 Sn 2.54

***

Which formula does entry 1 have? CsNaRhS2

***

Which formula does entry 1 have? CsNaRhS2